[1]
A plane-wave DFT calculation with GGA-PBE was carried out for a relaxed structure of CeSmGe2.

Cell: 4.2539 4.2539 20.6486 Å, 90.00 90.00 120.00°
With the nearest neighbours (Å) after each atom.
Space group R-3m (No. 166, hexagonal axes)
Unique sites:
Ce 0.0000 0.0000 0.0000 [3 per cell]  6 Ge 2.97
Sm 0.0000 0.0000 0.5000 [3 per cell]  6 Ge 3.03
Ge 0.0000 0.0000 0.2525 [6 per cell]  3 Ce 2.97, 3 Sm 3.03

Calculated values
Its total energy is -5.6281 eV per atom. Its crystal system is trigonal. Its formation energy from the elements is -2.6 eV per formula unit. For the calculated volume, the calculation gives 323.59 Å³ per cell.

---

[2]
A plane-wave DFT calculation with GGA-PBE was carried out for a relaxed structure of Ta2CuSb.

Cell: 3.6319 4.3870 8.8060 Å, 90.00 90.00 90.00°
With the nearest neighbours (Å) after each atom.
Space group Immm (No. 71)
Unique sites:
Ta 0.0000 0.0000 0.2473 [4 per cell]  4 Cu 2.84-3.12, 4 Ta 2.85, 4 Sb 2.87-3.09
Cu 0.0000 0.5000 0.5000 [2 per cell]  8 Ta 2.84-3.12, 4 Sb 2.85
Sb 0.0000 0.5000 0.0000 [2 per cell]  4 Cu 2.85, 8 Ta 2.87-3.09

Calculated values
Its total energy is -7.8635 eV per atom. The uncorrected formation energy is 0.1175 eV per atom. Its crystal system is orthorhombic. For the calculated volume, the calculation gives 140.31 Å³ per cell.

---

[3]
A plane-wave DFT calculation with GGA-PBE was carried out for a relaxed structure of KY2Tc.

Cell: 3.9020 3.9285 8.8915 Å, 90.00 90.00 90.00°
With the nearest neighbours (Å) after each atom.
Space group Pmm2 (No. 25)
Unique sites:
K 0.0000 0.0000 0.0000 [1 per cell]  1 Y 3.49, 2 K 3.90
Y 0.0000 0.0000 0.3922 [1 per cell]  4 Tc 2.85
Y 0.5000 0.5000 0.6218 [1 per cell]  1 Tc 2.71
Tc 0.5000 0.5000 0.3169 [1 per cell]  5 Y 2.71-2.85

Calculated values
Its total energy is -5.6241 eV per atom. Its crystal system is orthorhombic. Its formation energy from the elements is 1.9 eV per formula unit. For the calculated volume, the calculation gives 136.30 Å³ per cell.

---

[4]
A plane-wave DFT calculation with GGA-PBE was carried out for a relaxed structure of Tm5Pu2Pb4.

Cell: 24.5618 3.3980 7.8929 Å, 90.00 93.92 90.00°
With the nearest neighbours (Å) after each atom.
Space group C2/m (No. 12)
Unique sites:
Tm 0.0000 0.0000 0.0000 [2 per cell]  4 Pb 3.26, 2 Tm 3.40
Tm 0.1410 0.5000 0.1315 [4 per cell]  3 Pb 3.13-3.33, 1 Pu 3.32, 3 Tm 3.40-3.47
Tm 0.2327 0.5000 0.8164 [4 per cell]  3 Pb 3.24-3.32, 1 Pu 3.39, 7 Tm 3.40-3.53
Pu 0.0961 0.5000 0.7246 [4 per cell]  4 Pb 3.27-3.42, 2 Tm 3.32-3.39, 2 Pu 3.40
Pb 0.0373 0.5000 0.3403 [4 per cell]  3 Tm 3.13-3.26, 3 Pb 3.22-3.40, 2 Pu 3.27-3.28
Pb 0.1825 0.0000 0.4798 [4 per cell]  5 Tm 3.24-3.33, 2 Pb 3.40, 2 Pu 3.42

Calculated values
Its total energy is -5.9883 eV per atom. Its crystal system is monoclinic. Its formation energy from the elements is 0.0 eV per formula unit. For the calculated volume, the calculation gives 657.20 Å³ per cell.

---

[5]
A plane-wave DFT calculation with GGA-PBE was carried out for a relaxed structure of Tb15Sm2Ho2.

Cell: 11.1813 11.1813 17.6655 Å, 90.00 90.00 120.00°
With the nearest neighbours (Å) after each atom.
Space group R-3m (No. 166, hexagonal axes)
Unique sites:
Tb 0.0000 0.2970 0.0000 [18 per cell]  6 Tb 3.30-3.40
Tb 0.0000 0.5000 0.5000 [9 per cell]  8 Tb 3.34-3.40, 2 Ho 3.47
Tb 0.0143 0.5071 0.1355 [18 per cell]  6 Tb 3.28-3.34
Sm 0.0000 0.0000 0.3234 [6 per cell]  15 Tb 3.95-4.25, 1 Ho 4.03
Ho 0.0000 0.0000 0.0951 [6 per cell]  1 Ho 3.36, 9 Tb 3.47-3.72

Calculated values
Its total energy is -4.3563 eV per atom. Its crystal system is trigonal. Its formation energy from the elements is 5.3 eV per formula unit. For the calculated volume, the calculation gives 1912.69 Å³ per cell.

---

[6]
A plane-wave DFT calculation with GGA-PBE was carried out for a relaxed structure of Ac8NiIr3Se4.

Cell: 14.9829 8.6519 9.1503 Å, 90.00 123.08 90.00°
With the nearest neighbours (Å) after each atom.
Space group C2/m (No. 12)
Unique sites:
Ac 0.0094 0.2484 0.2769 [8 per cell]  2 Ir 3.02, 1 Ni 3.04, 3 Se 3.27-3.28
Ac 0.2413 0.0000 0.7235 [4 per cell]  3 Ir 3.03, 3 Se 3.27-3.28
Ac 0.2429 0.5000 0.7238 [4 per cell]  2 Ir 3.02, 1 Ni 3.05, 3 Se 3.26-3.28
Ni 0.0000 0.5000 0.5000 [2 per cell]  6 Ac 3.04-3.05
Ir 0.0000 0.0000 0.5000 [2 per cell]  6 Ac 3.02-3.03
Ir 0.2500 0.2500 0.5000 [4 per cell]  6 Ac 3.02-3.03
Se 0.0000 0.0000 0.0000 [2 per cell]  6 Ac 3.26-3.27
Se 0.0000 0.5000 0.0000 [2 per cell]  6 Ac 3.27-3.28
Se 0.2500 0.2500 0.0000 [4 per cell]  6 Ac 3.28

Calculated values
Its total energy is -6.1595 eV per atom. The uncorrected formation energy is -1.2113 eV per atom. Its crystal system is monoclinic. For the calculated volume, the calculation gives 993.90 Å³ per cell.

---

[7]
A plane-wave DFT calculation with GGA-PBE was carried out for a relaxed structure of Mn4V9Pt11.

Cell: 10.9338 16.4512 3.8683 Å, 90.00 90.00 90.00°
With the nearest neighbours (Å) after each atom.
Space group Cmmm (No. 65)
Unique sites:
Mn 0.1417 0.0971 0.0000 [8 per cell]  1 V 2.23
V 0.0000 0.0000 0.0000 [2 per cell]  4 Mn 2.23
V 0.1228 0.2530 0.0000 [8 per cell]  1 Mn 2.57, 3 V 2.69-2.78, 8 Pt 2.71-2.78
V 0.1252 0.4196 0.0000 [8 per cell]  1 Mn 2.56, 3 V 2.65-2.74, 8 Pt 2.71-2.77
Pt 0.0000 0.1642 0.5000 [4 per cell]  4 Mn 2.71, 3 Pt 2.76-2.80, 4 V 2.77
Pt 0.0000 0.3343 0.5000 [4 per cell]  4 Pt 2.71-2.80, 8 V 2.71-2.75
Pt 0.0000 0.5000 0.5000 [2 per cell]  8 V 2.71, 4 Pt 2.73-2.85
Pt 0.2398 0.0000 0.5000 [4 per cell]  4 Mn 2.73, 3 Pt 2.76-2.85, 4 V 2.77
Pt 0.2477 0.3326 0.5000 [8 per cell]  2 Mn 2.56, 6 V 2.71-2.78, 4 Pt 2.71-2.76

Calculated values
Its total energy is -8.0430 eV per atom. Its crystal system is orthorhombic. Its formation energy from the elements is -7.8 eV per formula unit. For the calculated volume, the calculation gives 695.81 Å³ per cell.

---

[8]
A plane-wave DFT calculation with GGA-PBE was carried out for a relaxed structure of HfZr12Tl3.

Cell: 4.5001 4.5001 18.0889 Å, 90.00 90.00 90.00°
With the nearest neighbours (Å) after each atom.
Space group P4/mmm (No. 123)
Unique sites:
Hf 0.0000 0.0000 0.0000 [1 per cell]  12 Zr 3.18
Zr 0.0000 0.5000 0.1239 [4 per cell]  8 Zr 3.18-3.25, 2 Hf 3.18, 2 Tl 3.22
Zr 0.0000 0.5000 0.3763 [4 per cell]  8 Zr 3.16-3.18, 4 Tl 3.17-3.19
Zr 0.5000 0.5000 0.0000 [1 per cell]  8 Zr 3.18, 4 Hf 3.18
Zr 0.5000 0.5000 0.2538 [2 per cell]  8 Zr 3.16-3.25, 4 Tl 3.18
Zr 0.5000 0.5000 0.5000 [1 per cell]  8 Zr 3.17, 4 Tl 3.18
Tl 0.0000 0.0000 0.2511 [2 per cell]  12 Zr 3.18-3.22
Tl 0.0000 0.0000 0.5000 [1 per cell]  12 Zr 3.17-3.18

Calculated values
Its total energy is -7.5510 eV per atom. Its crystal system is tetragonal. Its formation energy from the elements is -1.2 eV per formula unit. For the calculated volume, the calculation gives 366.32 Å³ per cell.

---

[9]
A plane-wave DFT calculation with GGA-PBE was carried out for a relaxed structure of Tl2OsAu.

Cell: 6.9194 6.9194 6.9194 Å, 90.00 90.00 90.00°
With the nearest neighbours (Å) after each atom.
Space group F-43m (No. 216)
Unique sites:
Tl 0.0000 0.0000 0.0000 [4 per cell]  4 Tl 3.00, 4 Os 3.00
Tl 0.2500 0.2500 0.2500 [4 per cell]  4 Au 3.00, 4 Tl 3.00
Os 0.2500 0.2500 0.7500 [4 per cell]  4 Tl 3.00, 4 Au 3.00
Au 0.0000 0.0000 0.5000 [4 per cell]  4 Os 3.00, 4 Tl 3.00

Calculated values
Its total energy is -3.8199 eV per atom. Its crystal system is cubic. Its formation energy from the elements is 4.0 eV per formula unit. For the calculated volume, the calculation gives 331.28 Å³ per cell.

---

[10]
A plane-wave DFT calculation with GGA-PBE was carried out for a relaxed structure of La2PrTl4.

Cell: 7.8044 7.8044 7.8967 Å, 90.00 90.00 90.00°
With the nearest neighbours (Å) after each atom.
Space group I4/mmm (No. 139)
Unique sites:
La 0.0000 0.5000 0.0000 [4 per cell]  8 Tl 3.39
Pr 0.0000 0.0000 0.0000 [2 per cell]  8 Tl 3.39
Tl 0.2500 0.2500 0.2500 [8 per cell]  4 La 3.39, 2 Pr 3.39

Calculated values
Its total energy is -3.6978 eV per atom. Its crystal system is tetragonal. Its formation energy from the elements is -1.8 eV per formula unit. For the calculated volume, the calculation gives 480.97 Å³ per cell.

---

[11]
A plane-wave DFT calculation with GGA-PBE was carried out for a relaxed structure of Sr6Y7.

Cell: 6.9700 6.9700 39.2945 Å, 90.00 90.00 120.00°
With the nearest neighbours (Å) after each atom.
Space group R-3m (No. 166, hexagonal axes)
Unique sites:
Sr 0.0000 0.0000 0.0495 [6 per cell]  6 Y 3.88, 2 Sr 3.89-3.94
Sr 0.0000 0.0000 0.1499 [6 per cell]  4 Sr 3.94-4.24, 12 Y 4.08-4.14
Sr 0.0000 0.0000 0.3331 [6 per cell]  9 Sr 4.02-4.47, 6 Y 4.17
Y 0.0000 0.0000 0.5000 [3 per cell]  6 Y 3.52
Y 0.0034 0.5017 0.0929 [18 per cell]  5 Y 3.45-3.52

Calculated values
Its total energy is -4.0573 eV per atom. Its crystal system is trigonal. Its formation energy from the elements is 2.6 eV per formula unit. For the calculated volume, the calculation gives 1653.20 Å³ per cell.

---

Number 1: total magnetic moment 0.000 μB/atom. Number 2: total magnetic moment 0.000 μB/atom. Number 3: total magnetic moment 0.000 μB/atom. Number 4: total magnetic moment 1.243 μB/atom. Number 5: total magnetic moment 0.000 μB/atom. Number 6: total magnetic moment 0.000 μB/atom. Number 7: total magnetic moment 0.341 μB/atom. Number 8: total magnetic moment 0.000 μB/atom. Number 9: total magnetic moment 0.224 μB/atom. Number 10: total magnetic moment 0.106 μB/atom. Number 11: total magnetic moment 0.000 μB/atom.